Compound: InTe2Mo
Source: the Alexandria database
Functional: PBEsol
Structure: optimized geometry

The space group is R-3m (No. 166, hexagonal axes) and the conventional cell measures 3.0986, 3.0986 and 34.9510 Å, with angles of 90.00, 90.00 and 120.00 degrees. The asymmetric unit holds In at (0.0000, 0.0000, 0.0000), Te at (0.0000, 0.0000, 0.4231) and Mo at (0.0000, 0.0000, 0.5000).

Its total energy is -4.83 eV/atom.